Ti3FeSn2P6O24: relaxed, PBE+U.

Lattice parameters (Å, degrees): 9.2095 9.2095 9.2095 55.38 55.38 55.38
Last column: nearest neighbours and their distance in Å.
Fractional positions:
1 Ti 0.0000 0.0000 0.0000  6 O 1.94
2 Ti 0.2068 0.2068 0.2068  6 O 1.94-2.00
3 Ti 0.6959 0.6959 0.6959  3 O 1.86
4 Fe 0.5096 0.5096 0.5096  6 O 2.05-2.26
5 Sn 0.3759 0.3759 0.3759  3 O 2.22
6 Sn 0.8367 0.8367 0.8367  3 O 2.28
7 P 0.0949 0.8246 0.3888  4 O 1.53-1.57
8 P 0.3058 0.6049 0.8922  4 O 1.51-1.59
9 P 0.3888 0.0949 0.8246  4 O 1.53-1.57
10 P 0.6049 0.8922 0.3058  4 O 1.51-1.59
11 P 0.8246 0.3888 0.0949  4 O 1.53-1.57
12 P 0.8922 0.3058 0.6049  4 O 1.51-1.59
13 O 0.0424 0.8647 0.2359  1 P 1.53
14 O 0.0514 0.3053 0.4092  1 P 1.55
15 O 0.1113 0.9942 0.3652  1 P 1.54
16 O 0.1279 0.7590 0.9686  1 P 1.54
17 O 0.2359 0.0424 0.8647  1 P 1.53
18 O 0.2819 0.6493 0.3933  1 P 1.56
19 O 0.3053 0.4092 0.0514  1 P 1.55
20 O 0.3104 0.6265 0.7143  1 P 1.51
21 O 0.3652 0.1113 0.9942  1 P 1.54
22 O 0.3933 0.2819 0.6493  1 P 1.56
23 O 0.4092 0.0514 0.3053  1 P 1.55
24 O 0.4845 0.6258 0.8562  1 P 1.59
25 O 0.5827 0.9302 0.7755  1 P 1.57
26 O 0.6258 0.8562 0.4845  1 P 1.59
27 O 0.6265 0.7143 0.3104  1 P 1.51
28 O 0.6493 0.3933 0.2819  1 P 1.56
29 O 0.7143 0.3104 0.6265  1 P 1.51
30 O 0.7590 0.9686 0.1279  1 P 1.54
31 O 0.7755 0.5827 0.9302  1 P 1.57
32 O 0.8562 0.4845 0.6258  1 P 1.59
33 O 0.8647 0.2359 0.0424  1 P 1.53
34 O 0.9302 0.7755 0.5827  1 P 1.57
35 O 0.9686 0.1279 0.7590  1 P 1.54
36 O 0.9942 0.3652 0.1113  1 P 1.54

Values from the calculation:
- VASP energy: -7.57 eV per atom
- Volume: 493 Å³ per cell
- Theoretical density: 3.391 Mg/m³
- Symmetry: No. 146